Entry 1:
Entry from OQMD via LeMat-Bulk: a relaxed Cu4Ag crystal (GGA-PBE).

The space-group type is No. 59. For the energy above the most stable polymorph in this dataset, the calculation gives 19 meV/atom. The formation energy comes out at 0.06 eV/atom.

abc: 2.6858 3.5661 13.5856
angles: 90.00 90.00 90.00
Fractional positions:
Cu1 0.2500 0.2500 0.0448
Cu2 0.2500 0.2500 0.2682
Cu3 0.2500 0.2500 0.4536
Cu4 0.2500 0.2500 0.6403
Cu5 0.7500 0.7500 0.3597
Cu6 0.7500 0.7500 0.5464
Cu7 0.7500 0.7500 0.7318
Cu8 0.7500 0.7500 0.9552
Ag1 0.2500 0.2500 0.8432
Ag2 0.7500 0.7500 0.1568



Entry 2:
Entry from OQMD via LeMat-Bulk: a relaxed ZrUCu crystal (GGA-PBE).

The space-group type is No. 216. For the energy above the most stable polymorph in this dataset, the calculation gives 0 meV/atom. The formation energy comes out at 0.66 eV/atom.

abc: 4.5582 4.5582 4.5582
angles: 60.00 60.00 60.00
Fractional positions:
Zr1 0.0000 0.0000 0.0000
U1 0.5000 0.5000 0.5000
Cu1 0.7500 0.7500 0.7500



Entry 3:
Entry from OQMD via LeMat-Bulk: a relaxed AsIrAuO crystal (GGA-PBE).

The space-group type is No. 129. For the energy above the most stable polymorph in this dataset, the calculation gives 521 meV/atom.

abc: 3.6493 3.6493 9.2980
angles: 90.00 90.00 90.00
Fractional positions:
As1 0.2500 0.2500 0.2486
As2 0.7500 0.7500 0.7514
Ir1 0.2500 0.2500 0.6325
Ir2 0.7500 0.7500 0.3675
Au1 0.2500 0.7500 0.0000
Au2 0.7500 0.2500 0.0000
O1 0.2500 0.7500 0.5000
O2 0.7500 0.2500 0.5000



Entry 4:
Entry from OQMD via LeMat-Bulk: a relaxed FeB2W3 crystal (GGA-PBE).

The space-group type is No. 194. For the energy above the most stable polymorph in this dataset, the calculation gives 241 meV/atom.

abc: 3.0781 3.0781 18.1583
angles: 90.00 90.00 120.00
Fractional positions:
Fe1 0.0000 0.0000 0.2500
Fe2 0.0000 0.0000 0.7500
B1 0.3333 0.6667 0.0740
B2 0.3333 0.6667 0.4260
B3 0.6667 0.3333 0.5740
B4 0.6667 0.3333 0.9260
W1 0.0000 0.0000 0.0000
W2 0.0000 0.0000 0.5000
W3 0.3333 0.6667 0.6419
W4 0.3333 0.6667 0.8581
W5 0.6667 0.3333 0.1419
W6 0.6667 0.3333 0.3581



Entry 5:
Entry from OQMD via LeMat-Bulk: a relaxed Pr2Dy2CBr3Cl2 crystal (GGA-PBE).

The space-group type is No. 12. For the energy above the most stable polymorph in this dataset, the calculation gives 0 meV/atom.

abc: 8.9451 8.9451 8.5564
angles: 102.26 102.26 25.18
Fractional positions:
Pr1 0.0033 0.0033 0.2951
Pr2 0.9967 0.9967 0.7049
Dy1 0.3586 0.3586 0.4295
Dy2 0.6414 0.6414 0.5705
C1 0.5000 0.5000 0.5000
Br1 0.1727 0.1727 0.8206
Br2 0.5000 0.5000 0.0000
Br3 0.8273 0.8273 0.1794
Cl1 0.1758 0.1758 0.3667
Cl2 0.8242 0.8242 0.6333



Entry 6:
Entry from OQMD via LeMat-Bulk: a relaxed Y4Nb2C3S3 crystal (GGA-PBE).

The space-group type is No. 15. Its calculated total energy is -198.7 eV/cell.

abc: 6.1134 6.1134 13.0430
angles: 103.54 103.54 60.25
Fractional positions:
Y1 0.0449 0.1952 0.1086
Y2 0.1217 0.2970 0.3913
Y3 0.1952 0.0449 0.6086
Y4 0.2970 0.1217 0.8913
Y5 0.7030 0.8783 0.1087
Y6 0.8048 0.9551 0.3914
Y7 0.8783 0.7030 0.6087
Y8 0.9551 0.8048 0.8914
Nb1 0.3545 0.5287 0.0866
Nb2 0.4713 0.6455 0.4134
Nb3 0.5287 0.3545 0.5866
Nb4 0.6455 0.4713 0.9134
C1 0.0000 0.5000 0.0000
C2 0.2002 0.6498 0.5000
C3 0.3502 0.7998 0.0000
C4 0.5000 0.0000 0.5000
C5 0.6498 0.2002 0.0000
C6 0.7998 0.3502 0.5000
S1 0.1154 0.8846 0.2500
S2 0.2784 0.4169 0.7516
S3 0.4169 0.2784 0.2516
S4 0.5831 0.7216 0.7484
S5 0.7216 0.5831 0.2484
S6 0.8846 0.1154 0.7500



Entry 7:
Entry from OQMD via LeMat-Bulk: a relaxed SrLi3WN3 crystal (GGA-PBE).

The space-group type is No. 148. Its calculated total energy is -102.1 eV/cell.

abc: 7.4922 7.4922 7.4922
angles: 46.57 46.57 46.57
Fractional positions:
Sr1 0.1616 0.1616 0.1616
Sr2 0.8384 0.8384 0.8384
Li1 0.0316 0.6068 0.2591
Li2 0.2591 0.0316 0.6068
Li3 0.3932 0.7409 0.9684
Li4 0.6068 0.2591 0.0316
Li5 0.7409 0.9684 0.3932
Li6 0.9684 0.3932 0.7409
W1 0.4344 0.4344 0.4344
W2 0.5656 0.5656 0.5656
N1 0.1031 0.7116 0.4004
N2 0.2884 0.5996 0.8969
N3 0.4004 0.1031 0.7116
N4 0.5996 0.8969 0.2884
N5 0.7116 0.4004 0.1031
N6 0.8969 0.2884 0.5996



Entry 8:
Entry from OQMD via LeMat-Bulk: a relaxed MgNi2 crystal (GGA-PBE).

The space-group type is No. 227. Its calculated total energy is -26.7 eV/cell.

abc: 4.8001 4.8001 4.8001
angles: 60.00 60.00 60.00
Fractional positions:
Mg1 0.1250 0.1250 0.1250
Mg2 0.8750 0.8750 0.8750
Ni1 0.0000 0.5000 0.5000
Ni2 0.5000 0.0000 0.5000
Ni3 0.5000 0.5000 0.0000
Ni4 0.5000 0.5000 0.5000



Repeat the first record exactly.
Entry from OQMD via LeMat-Bulk: a relaxed Cu4Ag crystal (GGA-PBE).

The space-group type is No. 59. For the energy above the most stable polymorph in this dataset, the calculation gives 19 meV/atom. The formation energy comes out at 0.06 eV/atom.

abc: 2.6858 3.5661 13.5856
angles: 90.00 90.00 90.00
Fractional positions:
Cu1 0.2500 0.2500 0.0448
Cu2 0.2500 0.2500 0.2682
Cu3 0.2500 0.2500 0.4536
Cu4 0.2500 0.2500 0.6403
Cu5 0.7500 0.7500 0.3597
Cu6 0.7500 0.7500 0.5464
Cu7 0.7500 0.7500 0.7318
Cu8 0.7500 0.7500 0.9552
Ag1 0.2500 0.2500 0.8432
Ag2 0.7500 0.7500 0.1568



Question: Number 6 is which compound?
Answer: Y4Nb2C3S3